a.
PF | GGA-PBE | relaxed

abc: 7.2266 7.2266 7.2266
angles: 90.00 90.00 90.00
With the nearest neighbours (Å) after each atom.
Space group I-43m (No. 217)
Unique sites:
P: 0.1134 0.1134 0.8866  1 F 1.72
F: 0.2488 0.2488 0.2488  1 P 1.72

=====

b.
PF | GGA-PBE | relaxed

abc: 3.9790 11.5846 8.3803
angles: 90.00 90.00 90.00
With the nearest neighbours (Å) after each atom.
Space group Pmmn (No. 59, origin choice 2)
Unique sites:
P: 0.2500 0.1681 0.2011  1 P 1.90
P: 0.2500 0.7500 0.3214  2 F 1.59
F: 0.2500 0.2500 0.6834  2 P 1.99
F: 0.2500 0.6457 0.1988  1 P 1.59

=====

Relative energy table, unit meV/atom: a 607; b 0

=====

a.
PF | GGA-PBE | relaxed

abc: 7.7686 6.1451 4.8552
angles: 90.00 90.00 90.00
With the nearest neighbours (Å) after each atom.
Space group Pmn2_1 (No. 31)
Unique sites:
P: 0.0000 0.2212 0.0000  1 F 1.64
P: 0.2318 0.0039 0.9505  1 F 1.63
F: 0.0000 0.3340 0.6937  1 P 1.64
F: 0.1734 0.7499 0.9458  1 P 1.63

=====

b.
PF | GGA-PBE | relaxed

abc: 2.7707 2.7707 8.9745
angles: 90.00 90.00 120.00
With the nearest neighbours (Å) after each atom.
Space group P6_3mc (No. 186)
Unique sites:
P: 0.3333 0.6667 0.0000  1 F 1.64
F: 0.3333 0.6667 0.8172  1 P 1.64

=====

c.
PF | GGA-PBE | relaxed

abc: 2.6900 9.8170 4.7910
angles: 90.00 90.00 90.00
With the nearest neighbours (Å) after each atom.
Space group Cmcm (No. 63)
Unique sites:
P: 0.0000 0.0043 0.2500  1 F 1.62
F: 0.0000 0.1697 0.2500  1 P 1.62

=====

d.
PF | GGA-PBE | relaxed

abc: 5.2520 5.2520 5.2520
angles: 90.00 90.00 90.00
With the nearest neighbours (Å) after each atom.
Space group F-43m (No. 216)
Unique sites:
P: 0.0000 0.0000 0.0000  4 F 2.27
F: 0.2500 0.2500 0.2500  4 P 2.27

=====

Relative energy table, unit meV/atom: a 0; b 273; c 103; d 1725

=====

a.
PF | GGA-PBE | relaxed

abc: 5.1532 7.1252 8.7898
angles: 90.00 90.00 90.00
With the nearest neighbours (Å) after each atom.
Space group P2_12_12_1 (No. 19)
Unique sites:
P: 0.0125 0.2279 0.2636  1 F 1.63
P: 0.2211 0.6752 0.9254  1 F 1.63
F: 0.0075 0.5699 0.8180  1 P 1.63
F: 0.1699 0.2713 0.1060  1 P 1.63

=====

b.
PF | GGA-PBE | relaxed

abc: 10.7706 10.7706 3.2546
angles: 90.00 90.00 90.00
With the nearest neighbours (Å) after each atom.
Space group P4/mnc (No. 128)
Unique sites:
P: 0.0951 0.3084 0.0000  1 F 1.63
F: 0.1329 0.1618 0.0000  1 P 1.63

=====

Relative energy table, unit meV/atom: a 241; b 0

=====

a.
PF | GGA-PBE | relaxed

abc: 6.5305 6.5305 6.5305
angles: 90.00 90.00 90.00
With the nearest neighbours (Å) after each atom.
Space group Pm-3n (No. 223)
Unique sites:
P: 0.0000 0.2500 0.5000  4 F 2.31
F: 0.0000 0.5000 0.2500  4 P 2.31

=====

b.
PF | GGA-PBE | relaxed

abc: 3.6513 3.4534 5.4276
angles: 90.00 90.36 90.00
With the nearest neighbours (Å) after each atom.
Space group P2_1/m (No. 11)
Unique sites:
P: 0.2076 0.2500 0.0100  1 F 1.63
F: 0.2442 0.2500 0.3091  1 P 1.63

=====

c.
PF | GGA-PBE | relaxed

abc: 4.9465 4.9465 4.9465
angles: 90.00 90.00 90.00
With the nearest neighbours (Å) after each atom.
Space group Fm-3m (No. 225)
Unique sites:
P: 0.0000 0.0000 0.0000  6 F 2.47
F: 0.0000 0.0000 0.5000  6 P 2.47

=====

d.
PF | GGA-PBE | relaxed

abc: 4.5175 8.4298 14.1863
angles: 90.00 90.00 90.00
With the nearest neighbours (Å) after each atom.
Space group Fddd (No. 70, origin choice 2)
Unique sites:
P: 0.1250 0.3166 0.1250  2 F 1.95
F: 0.1181 0.3750 0.3750  2 P 1.95

=====

Relative energy table, unit meV/atom: a 1873; b 0; c 1728; d 914

=====

a.
PPbF2 | GGA-PBE | relaxed

abc: 3.2022 3.2022 24.5554
angles: 90.00 90.00 120.00
With the nearest neighbours (Å) after each atom.
Space group R-3m (No. 166, hexagonal axes)
Unique sites:
P: 0.0000 0.0000 0.0000  2 F 1.85
Pb: 0.0000 0.0000 0.5000  6 F 2.90, 6 Pb 3.20
F: 0.0000 0.0000 0.0755  1 P 1.85

=====

b.
PPbF2 | GGA-PBE | relaxed

abc: 4.2422 4.2422 12.5796
angles: 90.00 90.00 120.00
With the nearest neighbours (Å) after each atom.
Space group R-3m (No. 166, hexagonal axes)
Unique sites:
P: 0.0000 0.0000 0.0000  6 F 2.54
Pb: 0.0000 0.0000 0.5000  8 F 2.76-2.84
F: 0.0000 0.0000 0.2804  3 P 2.54, 4 Pb 2.76-2.84, 3 F 2.79

=====

c.
PPbF2 | GGA-PBE | relaxed

abc: 4.0922 4.0922 16.0930
angles: 90.00 90.00 90.00
With the nearest neighbours (Å) after each atom.
Space group I-42d (No. 122)
Unique sites:
P: 0.0000 0.0000 0.0000  4 F 2.42
Pb: 0.0000 0.0000 0.5000  4 F 2.54
F: 0.2149 0.2500 0.1250  2 P 2.42, 2 Pb 2.54, 2 F 2.70

=====

Relative energy table, unit meV/atom: a 0; b 334; c 105

=====

a.
PPbF3 | GGA-PBE | relaxed

abc: 4.3797 4.3797 4.3797
angles: 90.00 90.00 90.00
With the nearest neighbours (Å) after each atom.
Space group Pm-3m (No. 221)
Unique sites:
P: 0.0000 0.0000 0.0000  6 F 2.19
Pb: 0.5000 0.5000 0.5000  12 F 3.10
F: 0.0000 0.0000 0.5000  2 P 2.19

=====

b.
PPbF3 | GGA-PBE | relaxed

abc: 4.6790 4.6790 4.6790
angles: 90.00 90.00 90.00
With the nearest neighbours (Å) after each atom.
Space group Pm-3m (No. 221)
Unique sites:
P: 0.0000 0.0000 0.0000  12 F 3.31
Pb: 0.5000 0.5000 0.5000  6 F 2.34
F: 0.0000 0.5000 0.5000  2 Pb 2.34

=====

Relative energy table, unit meV/atom: a 0; b 26

=====

a.
P2PbSF | GGA-PBE | relaxed

abc: 5.4211 5.4211 5.1293
angles: 90.00 90.00 90.00
With the nearest neighbours (Å) after each atom.
Space group P4/mmm (No. 123)
Unique sites:
P: 0.0000 0.5000 0.0000  2 Pb 2.71
Pb: 0.0000 0.0000 0.0000  2 S 2.56, 4 P 2.71
S: 0.0000 0.0000 0.5000  2 Pb 2.56
F: 0.5000 0.5000 0.5000  8 P 3.73, 4 S 3.83

=====

b.
P2PbSF | GGA-PBE | relaxed

abc: 4.1617 4.1617 5.9397
angles: 90.00 90.00 90.00
With the nearest neighbours (Å) after each atom.
Space group P4/mmm (No. 123)
Unique sites:
P: 0.0000 0.5000 0.0000  2 F 2.08
Pb: 0.0000 0.0000 0.5000  4 S 2.94
S: 0.5000 0.5000 0.5000  4 Pb 2.94, 2 F 2.97
F: 0.5000 0.5000 0.0000  4 P 2.08

=====

Relative energy table, unit meV/atom: a 748; b 0

=====

a.
PPdF2 | GGA-PBE | relaxed

abc: 2.6650 2.6650 28.8273
angles: 90.00 90.00 120.00
With the nearest neighbours (Å) after each atom.
Space group R-3m (No. 166, hexagonal axes)
Unique sites:
P: 0.0000 0.0000 0.0000  2 F 1.65
Pd: 0.0000 0.0000 0.5000  6 Pd 2.67
F: 0.0000 0.0000 0.0572  1 P 1.65

=====

b.
PPdF2 | GGA-PBE | relaxed

abc: 3.5949 3.5949 15.4808
angles: 90.00 90.00 90.00
With the nearest neighbours (Å) after each atom.
Space group I-42d (No. 122)
Unique sites:
P: 0.0000 0.0000 0.0000  4 F 2.29, 4 Pd 2.54
Pd: 0.0000 0.0000 0.5000  4 F 2.34, 4 P 2.54
F: 0.2316 0.2500 0.1250  2 P 2.29, 2 Pd 2.34, 2 F 2.45

=====

Relative energy table, unit meV/atom: a 0; b 183

=====

a.
PPdF3 | GGA-PBE | relaxed

abc: 4.0971 4.0971 4.0971
angles: 90.00 90.00 90.00
With the nearest neighbours (Å) after each atom.
Space group Pm-3m (No. 221)
Unique sites:
P: 0.0000 0.0000 0.0000  6 F 2.05
Pd: 0.5000 0.5000 0.5000  12 F 2.90
F: 0.0000 0.0000 0.5000  2 P 2.05

=====

b.
PPdF3 | GGA-PBE | relaxed

abc: 4.2506 4.2506 4.2506
angles: 90.00 90.00 90.00
With the nearest neighbours (Å) after each atom.
Space group Pm-3m (No. 221)
Unique sites:
P: 0.0000 0.0000 0.0000  12 F 3.01
Pd: 0.5000 0.5000 0.5000  6 F 2.13
F: 0.0000 0.5000 0.5000  2 Pd 2.13

=====

Relative energy table, unit meV/atom: a 0; b 381